1.
GeBr: optimized geometry, PBE-GGA.

The structure in POSCAR format:
```
GeBr
1.0
4.154 0.000 0.000
-1.758 5.762 0.000
-1.794 -0.912 5.681
Ge Br
2 2
Cartesian
0.000 0.000 0.000
-0.758 3.411 3.994
-0.779 -0.452 3.245
-0.743 3.287 0.073
```

Properties
crystal system = triclinic
space group = No. 1
uncorrected formation energy = -78 meV per atom

***

2.
GeBr: optimized geometry, PBE-GGA.

The structure in POSCAR format:
```
GeBr
1.0
3.501 0.000 0.000
-1.750 3.036 0.000
-1.720 -1.019 5.397
Ge Br
1 1
Cartesian
0.000 0.000 0.000
0.027 2.021 3.048
```

Properties
crystal system = triclinic
space group = No. 1
uncorrected formation energy = 84 meV per atom

***

3.
GeBr: optimized geometry, PBE-GGA.

The structure in POSCAR format:
```
GeBr
1.0
11.313 0.000 0.000
-5.656 9.797 0.000
0.000 0.000 3.420
Ge Br
6 6
Cartesian
-0.441 2.230 0.855
-3.504 9.064 0.855
1.711 1.497 2.565
3.945 8.300 0.855
9.161 0.733 2.565
6.097 7.567 2.565
-0.837 4.216 2.565
-1.587 8.414 2.565
3.233 2.833 0.855
2.424 6.965 2.565
7.243 1.383 0.855
6.493 5.581 0.855
```

Properties
crystal system = hexagonal
space group = No. 176
uncorrected formation energy = -125 meV per atom

***

4.
GeBr3: optimized geometry, PBE-GGA.

The structure in POSCAR format:
```
GeBr3
1.0
3.986 -6.572 0.000
3.986 6.572 0.000
0.000 0.000 7.614
Ge Br
2 6
Cartesian
3.986 3.359 5.711
3.986 -3.359 1.904
3.986 5.785 5.711
1.982 2.028 5.711
1.982 -2.028 1.904
5.990 2.028 5.711
5.990 -2.028 1.904
3.986 -5.785 1.904
```

Properties
crystal system = orthorhombic
space group = No. 63
uncorrected formation energy = -276 meV per atom

***

5.
GeBr: optimized geometry, PBE-GGA.

The structure in POSCAR format:
```
GeBr
1.0
-4.492 4.492 4.492
4.492 -4.492 4.492
4.492 4.492 -4.492
Ge Br
4 4
Cartesian
3.486 3.486 -3.486
3.486 -3.486 3.486
1.006 1.006 1.006
-3.486 3.486 3.486
1.761 1.761 -1.761
1.761 -1.761 1.761
-1.761 1.761 1.761
2.730 2.730 2.730
```

Properties
crystal system = cubic
space group = No. 217
uncorrected formation energy = 105 meV per atom

***

6.
GeBr: optimized geometry, PBE-GGA.

The structure in POSCAR format:
```
GeBr
1.0
0.000 5.630 5.925
3.755 0.000 5.925
3.755 5.630 0.000
Ge Br
4 4
Cartesian
5.278 4.223 4.444
7.155 7.038 7.406
0.354 4.223 4.444
2.231 7.038 7.406
2.816 4.223 1.189
4.693 7.038 4.151
2.816 4.223 7.699
4.693 7.038 10.662
```

Properties
crystal system = orthorhombic
space group = No. 70
uncorrected formation energy = 37 meV per atom

***

7.
GeBr: optimized geometry, PBE-GGA.

The structure in POSCAR format:
```
GeBr
1.0
0.000 3.023 3.023
3.023 0.000 3.023
3.023 3.023 0.000
Ge Br
1 1
Cartesian
0.000 0.000 0.000
3.023 3.023 3.023
```

Properties
crystal system = cubic
space group = No. 225
uncorrected formation energy = 266 meV per atom

***

8.
GeBr: optimized geometry, PBE-GGA.

The structure in POSCAR format:
```
GeBr
1.0
12.321 0.000 0.000
0.000 4.369 0.000
0.000 0.000 7.106
Ge Br
6 6
Cartesian
0.000 0.045 0.000
1.387 0.039 2.415
4.773 4.330 5.968
6.160 4.324 3.553
7.548 4.330 5.968
10.933 0.039 2.415
0.000 2.218 3.750
1.854 2.217 0.536
4.306 2.152 4.089
6.160 2.151 0.197
8.014 2.152 4.089
10.467 2.217 0.536
```

Properties
crystal system = orthorhombic
space group = No. 31
uncorrected formation energy = -72 meV per atom

***

| no. | total magnetization (μB per cell) |
| --- | --- |
| 1 | 0.0 |
| 2 | 0.0 |
| 3 | 0.0 |
| 4 | 0.0 |
| 5 | 0.0 |
| 6 | 0.0 |
| 7 | 0.0 |
| 8 | 0.0 |